The following is a DFT calculation (PBEsol) of an optimized crystal structure of CeCO3F.

Cell lengths 7.0278, 7.0278, 9.7422 Å; angles 90.00, 90.00, 120.00 degrees
Space group P-62c (No. 190)
Symmetry-distinct sites (fractional):
Ce 0.0000 0.3405 0.0000
C 0.0305 0.7087 0.2500
O 0.0591 0.6756 0.6346
O 0.1056 0.3170 0.2500
F 0.0000 0.0000 0.0000
F 0.3333 0.6667 0.0551

Calculated values
The calculation puts the total energy at -297.24 eV/cell. For the energy relative to the elements, uncorrected, the calculation gives -2.6041 eV/atom. The spin magnetization comes out at 1.00 μB per formula unit. As for the density: 5.2 g cm⁻³. The value obtained for the density of states at the Fermi level is 1.42 states/eV/atom.